1.
First-principles (PBE) data for an optimized crystal structure of PtSI4, as listed in OQMD.

Cell lengths 7.8629, 7.8629, 3.8596 Å; angles 90.00, 90.00, 92.23 degrees
Fractional coordinates of all 6 atoms:
I 0.3230 0.3230 0.0000
I 0.6770 0.6770 0.0000
I 0.8421 0.1579 0.5000
I 0.1579 0.8421 0.5000
Pt 0.0000 0.0000 0.0000
S 0.5000 0.5000 0.5000

## Properties
The calculation puts the total magnetic moment at 0.0 μB/cell. The energy is -0.098 Ha/atom.

2.
First-principles (PBE) data for an optimized crystal structure of Sr3PtI, as listed in OQMD.

Cell lengths 6.0070, 6.0070, 6.0070 Å; angles 90.00, 90.00, 90.00 degrees
Fractional coordinates of all 5 atoms:
I 0.5000 0.5000 0.5000
Pt 0.0000 0.0000 0.0000
Sr 0.5000 0.5000 0.0000
Sr 0.5000 0.0000 0.5000
Sr 0.0000 0.5000 0.5000

## Properties
The calculation puts the total magnetic moment at 0.1 μB/cell. The energy is -0.086 Ha/atom.